Record 1
Density functional theory data (PBE-GGA) for a geometry-optimized RbTaBe structure.

Unit cell a=3.8427 b=3.8431 c=13.0778 alpha=88.49 beta=88.29 gamma=60.02
Space group P-1 (No. 2)
One atom of each set of equivalent atoms:
1 Rb 0.1913 0.1822 0.1729
2 Ta 0.4929 0.4951 0.5947
3 Be 0.1666 0.1666 0.5006

Calculated values
Total energy: -4.929 eV/atom
Crystal system: triclinic
Energy of formation from the pure elements: 1.76 eV/f.u.
ΔE to the lowest computed polymorph: 135.8 meV/atom


Record 2
Density functional theory data (PBE-GGA) for a geometry-optimized DyHoAs2 structure.

Unit cell a=4.0714 b=4.0714 c=20.9732 alpha=90.00 beta=90.00 gamma=120.00
Space group R3m (No. 160, hexagonal axes)
One atom of each set of equivalent atoms:
1 Dy 0.0000 0.0000 0.0000
2 Ho 0.0000 0.0000 0.1713
3 As 0.0000 0.0000 0.5839
4 As 0.0000 0.0000 0.7538

Calculated values
Total energy: -6.001 eV/atom
Crystal system: trigonal
Energy of formation from the pure elements: -5.52 eV/f.u.
ΔE to the lowest computed polymorph: 154.2 meV/atom


Record 3
Density functional theory data (PBE-GGA) for a geometry-optimized Al6CuMo2 structure.

Unit cell a=12.2371 b=3.7338 c=6.4153 alpha=90.00 beta=110.77 gamma=90.00
Space group C2/m (No. 12)
One atom of each set of equivalent atoms:
1 Al 0.1025 0.0000 0.1603
2 Al 0.1630 0.5000 0.5049
3 Al 0.2193 0.0000 0.8464
4 Cu 0.0000 0.0000 0.5000
5 Mo 0.0563 0.5000 0.8179

Calculated values
Total energy: -5.489 eV/atom
Crystal system: monoclinic
Energy of formation from the pure elements: -1.18 eV/f.u.


Record 4
Density functional theory data (PBE-GGA) for a geometry-optimized KLaH6Pt2 structure.

Unit cell a=8.0447 b=10.5772 c=5.9797 alpha=90.00 beta=100.96 gamma=90.00
Space group C2/c (No. 15)
One atom of each set of equivalent atoms:
1 K 0.0000 0.0721 0.2500
2 La 0.0000 0.3566 0.7500
3 H 0.1161 0.1476 0.6602
4 H 0.1655 0.2497 0.1104
5 H 0.1841 0.4806 0.4958
6 Pt 0.1733 0.3658 0.2975

Calculated values
Total energy: -4.310 eV/atom
Crystal system: monoclinic